VASP calculation (PBE-GGA) on a relaxed Nd6PtAu5 crystal.

The space group is Immm (No. 71) and the conventional cell measures 5.2339, 7.3945 and 15.6982 Å, with angles of 90.00, 90.00 and 90.00 degrees. Symmetry generates all atoms from Nd at (0.0000, 0.2422, 0.0000), Nd at (0.0000, 0.2545, 0.3374), Pt at (0.0000, 0.5000, 0.5000), Au at (0.0000, 0.0000, 0.1755), Au at (0.0000, 0.0000, 0.5000) and Au at (0.0000, 0.5000, 0.1660).

The density of states at the Fermi level is 0.7670 states/eV per atom. The value obtained for the volume is 25.31 Å³ per atom. The calculation puts the formation energy at -0.8116 eV/atom. For the total magnetization, the calculation gives 0.000 μB per atom.



VASP calculation (PBE-GGA) on a relaxed AlAsIr2 crystal.

The space group is Cmm2 (No. 35) and the conventional cell measures 2.7929, 4.8486 and 9.6574 Å, with angles of 90.00, 90.00 and 90.00 degrees. Symmetry generates all atoms from Al at (0.0000, 0.0000, 0.0000), As at (0.0000, 0.5000, 0.6880), Ir at (0.0000, 0.0000, 0.4669) and Ir at (0.0000, 0.5000, 0.2187).

The density of states at the Fermi level is 0.8650 states/eV per atom. The value obtained for the volume is 16.35 Å³ per atom. The calculation puts the formation energy at 0.1483 eV/atom. For the total magnetization, the calculation gives 0.000 μB per atom. The energy above the most stable polymorph in this dataset is 0.4706 eV per atom.